1.
First-principles (PBE-GGA) data for crystalline Y2Tl2Zn at its relaxed geometry, as listed in Alexandria.

## Properties
- Total magnetic moment: 0.00 μB/atom
- DFT formation energy: -1.6 eV/f.u.
- Raw total energy: -82.2 eV for the cell shown
- Energy above the lowest structure with this stoichiometry: 0.000 eV/atom

```
data_Y2Tl2Zn
_cell_length_a 11.280
_cell_length_b 4.630
_cell_length_c 10.975
_cell_angle_alpha 90.00
_cell_angle_beta 116.52
_cell_angle_gamma 90.00
_symmetry_space_group_name_H-M 'C 1 2/m 1'
_symmetry_Int_Tables_number 12
_symmetry_space_group_name_Hall '-C 2y'
loop_
_atom_site_label
_atom_site_type_symbol
_atom_site_fract_x
_atom_site_fract_y
_atom_site_fract_z
Y1 Y 0.010 0.000 0.330
Y2 Y 0.179 0.000 0.101
Tl1 Tl 0.036 0.500 0.882
Tl2 Tl 0.152 0.500 0.558
Zn1 Zn 0.222 0.500 0.318
```

=====

2.
First-principles (PBE-GGA) data for crystalline NiBi2Ir at its relaxed geometry, as listed in Alexandria.

## Properties
- Total magnetic moment: 0.00 μB/atom
- DFT formation energy: 2.0 eV/f.u.
- Raw total energy: -81.5 eV for the cell shown

```
data_NiBi2Ir
_cell_length_a 6.392
_cell_length_b 6.392
_cell_length_c 10.461
_cell_angle_alpha 90.00
_cell_angle_beta 90.00
_cell_angle_gamma 90.00
_symmetry_space_group_name_H-M 'I -4 2 d'
_symmetry_Int_Tables_number 122
_symmetry_space_group_name_Hall 'I -4 2bw'
loop_
_atom_site_label
_atom_site_type_symbol
_atom_site_fract_x
_atom_site_fract_y
_atom_site_fract_z
Ni1 Ni 0.000 0.000 0.000
Bi1 Bi 0.239 0.250 0.125
Ir1 Ir 0.000 0.000 0.500
```

=====

3.
First-principles (PBE-GGA) data for crystalline Ho3Er2Tm6Pu at its relaxed geometry, as listed in Alexandria.

## Properties
- Total magnetic moment: 0.54 μB/atom
- DFT formation energy: 0.5 eV/f.u.
- Raw total energy: -127.0 eV for the cell shown

```
data_Ho3Er2Tm6Pu
_cell_length_a 6.046
_cell_length_b 10.470
_cell_length_c 11.529
_cell_angle_alpha 90.00
_cell_angle_beta 100.08
_cell_angle_gamma 90.00
_symmetry_space_group_name_H-M 'C 1 2/m 1'
_symmetry_Int_Tables_number 12
_symmetry_space_group_name_Hall '-C 2y'
loop_
_atom_site_label
_atom_site_type_symbol
_atom_site_fract_x
_atom_site_fract_y
_atom_site_fract_z
Ho1 Ho 0.000 0.000 0.000
Ho2 Ho 0.000 0.333 0.000
Er1 Er 0.000 0.167 0.500
Tm1 Tm 0.247 0.335 0.748
Tm2 Tm 0.247 0.500 0.252
Pu1 Pu 0.000 0.500 0.500
```

=====

4.
First-principles (PBE-GGA) data for crystalline TiVSN2 at its relaxed geometry, as listed in Alexandria.

## Properties
- Total magnetic moment: 0.22 μB/atom
- E_form (uncorrected): -0.073 eV per atom
- Raw total energy: -38.2 eV for the cell shown
- Energy above the lowest structure with this stoichiometry: 0.000 eV/atom

```
data_TiVSN2
_cell_length_a 3.725
_cell_length_b 3.725
_cell_length_c 4.737
_cell_angle_alpha 90.00
_cell_angle_beta 90.00
_cell_angle_gamma 90.00
_symmetry_space_group_name_H-M 'P 4/m m m'
_symmetry_Int_Tables_number 123
_symmetry_space_group_name_Hall '-P 4 2'
loop_
_atom_site_label
_atom_site_type_symbol
_atom_site_fract_x
_atom_site_fract_y
_atom_site_fract_z
Ti1 Ti 0.000 0.000 0.000
V1 V 0.500 0.500 0.500
S1 S 0.500 0.500 0.000
N1 N 0.000 0.500 0.500
```

=====

5.
First-principles (PBE-GGA) data for crystalline AlCr2HgCl at its relaxed geometry, as listed in Alexandria.

## Properties
- Total magnetic moment: 1.70 μB/atom
- E_form (uncorrected): 0.770 eV per atom
- Raw total energy: -21.3 eV for the cell shown

```
data_AlCr2HgCl
_cell_length_a 5.054
_cell_length_b 5.054
_cell_length_c 5.028
_cell_angle_alpha 90.00
_cell_angle_beta 90.00
_cell_angle_gamma 90.00
_symmetry_space_group_name_H-M 'P 4/m m m'
_symmetry_Int_Tables_number 123
_symmetry_space_group_name_Hall '-P 4 2'
loop_
_atom_site_label
_atom_site_type_symbol
_atom_site_fract_x
_atom_site_fract_y
_atom_site_fract_z
Al1 Al 0.000 0.000 0.000
Cr1 Cr 0.000 0.500 0.000
Hg1 Hg 0.000 0.000 0.500
Cl1 Cl 0.500 0.500 0.500
```

=====

6.
First-principles (PBE-GGA) data for crystalline Ni2HgCl at its relaxed geometry, as listed in Alexandria.

## Properties
- Total magnetic moment: 0.22 μB/atom
- E_form (uncorrected): 0.141 eV per atom
- Raw total energy: -39.4 eV for the cell shown
- Energy above the lowest structure with this stoichiometry: 0.062 eV/atom

```
data_Ni2HgCl
_cell_length_a 3.2400
_cell_length_b 3.2400
_cell_length_c 24.0128
_cell_angle_alpha 90.00
_cell_angle_beta 90.00
_cell_angle_gamma 120.00
_symmetry_space_group_name_H-M 'R 3 m'
_symmetry_Int_Tables_number 160
_symmetry_space_group_name_Hall 'R 3 -2"'
loop_
_atom_site_label
_atom_site_type_symbol
_atom_site_fract_x
_atom_site_fract_y
_atom_site_fract_z
Ni1 Ni 0.0000 0.0000 0.0000
Ni2 Ni 0.0000 0.0000 0.2696
Hg1 Hg 0.0000 0.0000 0.5219
Cl1 Cl 0.0000 0.0000 0.7212
```

=====

7.
First-principles (PBE-GGA) data for crystalline RbZn2SbMo at its relaxed geometry, as listed in Alexandria.

## Properties
- Total magnetic moment: 0.78 μB/atom
- E_form (uncorrected): 1.795 eV per atom
- Raw total energy: -9.5 eV for the cell shown

```
data_RbZn2SbMo
_cell_length_a 5.825
_cell_length_b 5.825
_cell_length_c 6.668
_cell_angle_alpha 90.00
_cell_angle_beta 90.00
_cell_angle_gamma 90.00
_symmetry_space_group_name_H-M 'P 4/m m m'
_symmetry_Int_Tables_number 123
_symmetry_space_group_name_Hall '-P 4 2'
loop_
_atom_site_label
_atom_site_type_symbol
_atom_site_fract_x
_atom_site_fract_y
_atom_site_fract_z
Rb1 Rb 0.000 0.000 0.000
Zn1 Zn 0.000 0.500 0.000
Sb1 Sb 0.000 0.000 0.500
Mo1 Mo 0.500 0.500 0.500
```

=====

8.
First-principles (PBE-GGA) data for crystalline WN at its relaxed geometry, as listed in Alexandria.

## Properties
- Total magnetic moment: 0.00 μB/atom
- E_form (uncorrected): -0.160 eV per atom
- Raw total energy: -129.6 eV for the cell shown

```
data_WN
_cell_length_a 7.5011
_cell_length_b 7.5011
_cell_length_c 3.4209
_cell_angle_alpha 90.00
_cell_angle_beta 90.00
_cell_angle_gamma 120.00
_symmetry_space_group_name_H-M 'P 63/m'
_symmetry_Int_Tables_number 176
_symmetry_space_group_name_Hall '-P 6c'
loop_
_atom_site_label
_atom_site_type_symbol
_atom_site_fract_x
_atom_site_fract_y
_atom_site_fract_z
W1 W 0.1220 0.6644 0.2500
N1 N 0.0155 0.3328 0.2500
```

=====

9.
First-principles (PBE-GGA) data for crystalline Cd2CoRu at its relaxed geometry, as listed in Alexandria.

## Properties
- Total magnetic moment: 0.72 μB/atom
- DFT formation energy: 1.7 eV/f.u.
- Raw total energy: -33.0 eV for the cell shown
- Energy above the lowest structure with this stoichiometry: 0.226 eV/atom

```
data_Cd2CoRu
_cell_length_a 3.979
_cell_length_b 3.979
_cell_length_c 8.306
_cell_angle_alpha 90.00
_cell_angle_beta 90.00
_cell_angle_gamma 90.00
_symmetry_space_group_name_H-M 'I 4/m m m'
_symmetry_Int_Tables_number 139
_symmetry_space_group_name_Hall '-I 4 2'
loop_
_atom_site_label
_atom_site_type_symbol
_atom_site_fract_x
_atom_site_fract_y
_atom_site_fract_z
Cd1 Cd 0.000 0.500 0.250
Co1 Co 0.000 0.000 0.000
Ru1 Ru 0.000 0.000 0.500
```

=====

10.
First-principles (PBE-GGA) data for crystalline NaSmDy2Te4 at its relaxed geometry, as listed in Alexandria.

## Properties
- Total magnetic moment: 0.00 μB/atom
- E_form (uncorrected): -1.327 eV per atom
- Raw total energy: -38.4 eV for the cell shown

```
data_NaSmDy2Te4
_cell_length_a 7.671
_cell_length_b 4.372
_cell_length_c 7.681
_cell_angle_alpha 90.00
_cell_angle_beta 108.88
_cell_angle_gamma 90.00
_symmetry_space_group_name_H-M 'P 1 2/m 1'
_symmetry_Int_Tables_number 10
_symmetry_space_group_name_Hall '-P 2y'
loop_
_atom_site_label
_atom_site_type_symbol
_atom_site_fract_x
_atom_site_fract_y
_atom_site_fract_z
Na1 Na 0.000 0.000 0.000
Sm1 Sm 0.500 0.500 0.000
Dy1 Dy 0.000 0.500 0.500
Dy2 Dy 0.500 0.000 0.500
Te1 Te 0.246 0.000 0.744
Te2 Te 0.252 0.500 0.257
```

=====

11.
First-principles (PBE-GGA) data for crystalline ZrBiCl2 at its relaxed geometry, as listed in Alexandria.

## Properties
- Total magnetic moment: 0.00 μB/atom
- E_form (uncorrected): -1.050 eV per atom
- Raw total energy: -81.3 eV for the cell shown
- Energy above the lowest structure with this stoichiometry: 0.155 eV/atom

```
data_ZrBiCl2
_cell_length_a 9.821
_cell_length_b 7.274
_cell_length_c 7.116
_cell_angle_alpha 90.00
_cell_angle_beta 108.24
_cell_angle_gamma 90.00
_symmetry_space_group_name_H-M 'C 1 2 1'
_symmetry_Int_Tables_number 5
_symmetry_space_group_name_Hall 'C 2y'
loop_
_atom_site_label
_atom_site_type_symbol
_atom_site_fract_x
_atom_site_fract_y
_atom_site_fract_z
Zr1 Zr 0.021 0.000 0.257
Bi1 Bi 0.164 0.262 0.555
Cl1 Cl 0.000 0.732 0.000
Cl2 Cl 0.000 0.751 0.500
Cl3 Cl 0.173 0.127 0.043
```

=====

12.
First-principles (PBE-GGA) data for crystalline ThVRu2 at its relaxed geometry, as listed in Alexandria.

## Properties
- Total magnetic moment: 0.00 μB/atom
- DFT formation energy: -0.8 eV/f.u.
- Raw total energy: -107.8 eV for the cell shown

```
data_ThVRu2
_cell_length_a 4.0504
_cell_length_b 4.0504
_cell_length_c 16.0000
_cell_angle_alpha 90.00
_cell_angle_beta 90.00
_cell_angle_gamma 120.00
_symmetry_space_group_name_H-M 'R -3 m'
_symmetry_Int_Tables_number 166
_symmetry_space_group_name_Hall '-R 3 2"'
loop_
_atom_site_label
_atom_site_type_symbol
_atom_site_fract_x
_atom_site_fract_y
_atom_site_fract_z
Th1 Th 0.0000 0.0000 0.0000
V1 V 0.0000 0.0000 0.5000
Ru1 Ru 0.0000 0.0000 0.2193
```